Record 1
Below is crystalline Nd2NbNi at its relaxed geometry, with properties calculated at the PBE-GGA level.

Output
E_form = 619.2 meV per atom
space group = R-3m (166)

```
Nd2NbNi
1.0
1.669 0.964 10.107
-1.669 0.964 10.107
0.000 -1.927 10.107
Nd Nb Ni
2 1 1
direct
0.099 0.099 0.099 Nd
0.901 0.901 0.901 Nd
0.000 0.000 0.000 Nb
0.500 0.500 0.500 Ni
```

Record 2
Below is crystalline Li2Pu2Ge3 at its relaxed geometry, with properties calculated at the PBE-GGA level.

Output
E_form = -406.6 meV per atom
space group = Cmcm (63)

```
Li2Pu2Ge3
1.0
2.201 -9.201 0.000
2.201 9.201 0.000
0.000 0.000 6.790
Li Pu Ge
4 4 6
direct
0.192 0.808 0.562 Li
0.192 0.808 0.938 Li
0.808 0.192 0.062 Li
0.808 0.192 0.438 Li
0.345 0.655 0.750 Pu
0.452 0.548 0.250 Pu
0.548 0.452 0.750 Pu
0.655 0.345 0.250 Pu
0.064 0.936 0.063 Ge
0.064 0.936 0.437 Ge
0.280 0.720 0.250 Ge
0.720 0.280 0.750 Ge
0.936 0.064 0.563 Ge
0.936 0.064 0.937 Ge
```

Record 3
Below is crystalline ZnTcSe2 at its relaxed geometry, with properties calculated at the PBE-GGA level.

Output
energy above the most stable polymorph in this dataset = 22.3 kJ per mole of atoms
energy relative to the elements, uncorrected = -4.7 kJ per mole of atoms
space group = P1 (1)

```
ZnTcSe2
1.0
3.295 0.000 0.000
1.074 4.428 0.000
0.266 1.180 4.909
Zn Tc Se
1 1 2
direct
0.000 0.000 0.000 Zn
0.442 0.346 0.634 Tc
0.366 0.449 0.117 Se
0.797 0.792 0.531 Se
```

Record 4
Below is crystalline Np3Tl2HgO12 at its relaxed geometry, with properties calculated at the PBE-GGA level.

Output
energy relative to the elements, uncorrected = -196.2 kJ per mole of atoms
space group = R-3m (166)

```
Np3Tl2HgO12
1.0
4.020 2.321 6.132
-4.020 2.321 6.132
0.000 -4.642 6.132
Np Tl Hg O
3 2 1 12
direct
0.000 0.500 0.500 Np
0.500 0.000 0.500 Np
0.500 0.500 0.000 Np
0.149 0.149 0.149 Tl
0.851 0.851 0.851 Tl
0.500 0.500 0.500 Hg
0.136 0.587 0.587 O
0.198 0.198 0.572 O
0.198 0.572 0.198 O
0.413 0.413 0.864 O
0.413 0.864 0.413 O
0.428 0.802 0.802 O
0.572 0.198 0.198 O
0.587 0.136 0.587 O
0.587 0.587 0.136 O
0.802 0.428 0.802 O
0.802 0.802 0.428 O
0.864 0.413 0.413 O
```

Here are the calculated E numbers, same order: -22.9, -98.4, -18.8, -139.9 (eV/cell).
Here are the calculated calculated density numbers, same order: 7.5, 8.7, 7.4, 7.3 (g/cm³).
Here are the calculated magnetization numbers, same order: 0.885, 10.448, 0.000, 1.007 (μB/f.u.).